No. 1
# HgPSe (GGA-PBE, optimized geometry)
# **Density**: 6.414 g/cm3
# **V**: 161 Å³/cell
# **E**: -2.809 eV per atom
data_HgPSe
_cell_length_a 3.287
_cell_length_b 3.287
_cell_length_c 14.884
_cell_angle_alpha 90.00
_cell_angle_beta 90.00
_cell_angle_gamma 90.00
_symmetry_space_group_name_H-M 'I 4 m m'
_symmetry_Int_Tables_number 107
_symmetry_space_group_name_Hall 'I 4 -2'
loop_
_atom_site_label
_atom_site_fract_x
_atom_site_fract_y
_atom_site_fract_z
Hg1 0.000 0.000 0.000
P1 0.000 0.000 0.296
Se1 0.000 0.000 0.730

=====

No. 2
# HgPSe (GGA-PBE, optimized geometry)
# **Density**: 5.567 g/cm3
# **V**: 370 Å³/cell
# **E**: -2.809 eV per atom
data_HgPSe
_cell_length_a 3.267
_cell_length_b 7.081
_cell_length_c 16.017
_cell_angle_alpha 90.00
_cell_angle_beta 90.00
_cell_angle_gamma 90.00
_symmetry_space_group_name_H-M 'F m m 2'
_symmetry_Int_Tables_number 42
_symmetry_space_group_name_Hall 'F 2 -2'
loop_
_atom_site_label
_atom_site_fract_x
_atom_site_fract_y
_atom_site_fract_z
Hg1 0.000 0.000 0.000
P1 0.000 0.000 0.317
Se1 0.000 0.000 0.719

=====

No. 3
# HgP2Se6 (GGA-PBE, optimized geometry)
# **Density**: 4.732 g/cm3
# **V**: 1034 Å³/cell
# **E**: -3.590 eV per atom
data_HgP2Se6
_cell_length_a 13.733
_cell_length_b 13.830
_cell_length_c 6.044
_cell_angle_alpha 90.00
_cell_angle_beta 115.79
_cell_angle_gamma 90.00
_symmetry_space_group_name_H-M 'C 1 2/c 1'
_symmetry_Int_Tables_number 15
loop_
_symmetry_equiv_pos_as_xyz
'x,y,z'
'-x,-y,-z'
'-x,y,-z+1/2'
'x,-y,z+1/2'
'x+1/2,y+1/2,z'
'-x+1/2,-y+1/2,-z'
'-x+1/2,y+1/2,-z+1/2'
'x+1/2,-y+1/2,z+1/2'
loop_
_atom_site_label
_atom_site_fract_x
_atom_site_fract_y
_atom_site_fract_z
Hg1 0.000 0.237 0.250
P1 0.226 0.418 0.287
Se1 0.102 0.082 0.607
Se2 0.147 0.283 0.099
Se3 0.154 0.441 0.566

=====

No. 4
# HgP2Se (GGA-PBE, optimized geometry)
# **Density**: 5.571 g/cm3
# **V**: 407 Å³/cell
# **E**: -3.160 eV per atom
data_HgP2Se
_cell_length_a 5.591
_cell_length_b 5.591
_cell_length_c 13.025
_cell_angle_alpha 90.00
_cell_angle_beta 90.00
_cell_angle_gamma 90.00
_symmetry_space_group_name_H-M 'I -4 2 d'
_symmetry_Int_Tables_number 122
_symmetry_space_group_name_Hall 'I -4 2bw'
loop_
_atom_site_label
_atom_site_fract_x
_atom_site_fract_y
_atom_site_fract_z
Hg1 0.000 0.000 0.000
P1 0.231 0.250 0.625
Se1 0.000 0.000 0.500

=====

No. 5
# HgPSe2 (GGA-PBE, optimized geometry)
# **Density**: 7.893 g/cm3
# **V**: 82 Å³/cell
# **E**: -2.568 eV per atom
data_HgPSe2
_cell_length_a 4.871
_cell_length_b 4.871
_cell_length_c 3.454
_cell_angle_alpha 90.00
_cell_angle_beta 90.00
_cell_angle_gamma 90.00
_symmetry_space_group_name_H-M 'P 4/m m m'
_symmetry_Int_Tables_number 123
_symmetry_space_group_name_Hall '-P 4 2'
loop_
_atom_site_label
_atom_site_fract_x
_atom_site_fract_y
_atom_site_fract_z
Hg1 0.000 0.000 0.000
P1 0.500 0.500 0.000
Se1 0.000 0.500 0.500

=====

No. 6
# HgPSe2 (GGA-PBE, optimized geometry)
# **Density**: 7.633 g/cm3
# **V**: 85 Å³/cell
# **E**: -2.683 eV per atom
data_HgPSe2
_cell_length_a 3.397
_cell_length_b 3.397
_cell_length_c 7.344
_cell_angle_alpha 90.00
_cell_angle_beta 90.00
_cell_angle_gamma 90.00
_symmetry_space_group_name_H-M 'P 4/m m m'
_symmetry_Int_Tables_number 123
_symmetry_space_group_name_Hall '-P 4 2'
loop_
_atom_site_label
_atom_site_fract_x
_atom_site_fract_y
_atom_site_fract_z
Hg1 0.000 0.000 0.000
P1 0.000 0.000 0.500
Se1 0.500 0.500 0.303

=====

No. 7
# HgPSe2 (GGA-PBE, optimized geometry)
# **Density**: 5.594 g/cm3
# **V**: 231 Å³/cell
# **E**: -2.954 eV per atom
data_HgPSe2
_cell_length_a 3.149
_cell_length_b 6.838
_cell_length_c 10.737
_cell_angle_alpha 90.00
_cell_angle_beta 90.00
_cell_angle_gamma 90.00
_symmetry_space_group_name_H-M 'I m m m'
_symmetry_Int_Tables_number 71
_symmetry_space_group_name_Hall '-I 2 2'
loop_
_atom_site_label
_atom_site_fract_x
_atom_site_fract_y
_atom_site_fract_z
Hg1 0.000 0.000 0.000
P1 0.000 0.000 0.500
Se1 0.000 0.500 0.161

=====

No. 8
# HgPSe2 (GGA-PBE, optimized geometry)
# **Density**: 6.139 g/cm3
# **V**: 211 Å³/cell
# **E**: -2.904 eV per atom
data_HgPSe2
_cell_length_a 3.106
_cell_length_b 4.276
_cell_length_c 15.862
_cell_angle_alpha 90.00
_cell_angle_beta 90.00
_cell_angle_gamma 90.00
_symmetry_space_group_name_H-M 'I m m 2'
_symmetry_Int_Tables_number 44
loop_
_symmetry_equiv_pos_as_xyz
'x,y,z'
'-x,-y,z'
'-x,y,z'
'x,-y,z'
'x+1/2,y+1/2,z+1/2'
'-x+1/2,-y+1/2,z+1/2'
'-x+1/2,y+1/2,z+1/2'
'x+1/2,-y+1/2,z+1/2'
loop_
_atom_site_label
_atom_site_fract_x
_atom_site_fract_y
_atom_site_fract_z
Hg1 0.000 0.000 0.000
P1 0.000 0.500 0.274
Se1 0.000 0.000 0.669
Se2 0.000 0.500 0.860